[1]
Material: LaW2Se
Method: DFT, PBE-GGA
State: optimized geometry

a b c (Å): 3.5963 3.5963 6.5172
angles (deg): 90.00 90.00 90.00
With the nearest neighbours (Å) after each atom.
Space group P4/mmm (No. 123)
One atom of each set of equivalent atoms:
La  0.0000  0.0000  0.0000 [1 per cell]  2 Se 3.26, 8 W 3.27, 4 La 3.60
W  0.5000  0.5000  0.3150 [2 per cell]  1 W 2.41
Se  0.0000  0.0000  0.5000 [1 per cell]  8 W 2.81

Values from the calculation:
- Calculated volume: 21.07 Å³ per atom
- Energy relative to the elements, uncorrected: 0.800 eV per atom

=====

[2]
Material: LaW2Se
Method: DFT, PBE-GGA
State: optimized geometry

a b c (Å): 5.6056 10.0567 2.9061
angles (deg): 90.00 90.00 90.00
With the nearest neighbours (Å) after each atom.
Space group Cmmm (No. 65)
One atom of each set of equivalent atoms:
La  0.0000  0.0000  0.0000 [2 per cell]  2 Se 2.80, 2 La 2.91
W  0.2500  0.2500  0.5000 [4 per cell]  4 W 2.80-2.91
Se  0.0000  0.5000  0.0000 [2 per cell]  2 La 2.80, 2 Se 2.91

Values from the calculation:
- Calculated volume: 20.48 Å³ per atom
- Energy relative to the elements, uncorrected: 0.873 eV per atom

=====

[3]
Material: La3WSe
Method: DFT, PBE-GGA
State: optimized geometry

a b c (Å): 5.5172 5.5172 5.5172
angles (deg): 90.00 90.00 90.00
With the nearest neighbours (Å) after each atom.
Space group Pm-3m (No. 221)
One atom of each set of equivalent atoms:
La  0.0000  0.0000  0.5000 [3 per cell]  2 W 2.76
W  0.0000  0.0000  0.0000 [1 per cell]  6 La 2.76
Se  0.5000  0.5000  0.5000 [1 per cell]  12 La 3.90

Values from the calculation:
- Calculated volume: 33.59 Å³ per atom
- Energy relative to the elements, uncorrected: 0.034 eV per atom

=====

[4]
Material: LaWSe2
Method: DFT, PBE-GGA
State: optimized geometry

a b c (Å): 5.4763 5.4763 14.7620
angles (deg): 90.00 90.00 90.00
With the nearest neighbours (Å) after each atom.
Space group I-42d (No. 122)
One atom of each set of equivalent atoms:
La  0.0000  0.0000  0.0000 [4 per cell]  4 Se 2.94
W  0.0000  0.0000  0.5000 [4 per cell]  4 Se 2.47
Se  0.1637  0.2500  0.6250 [8 per cell]  2 W 2.47

Values from the calculation:
- Calculated volume: 27.67 Å³ per atom
- Energy relative to the elements, uncorrected: -0.290 eV per atom